Compound: Mg8CdIn3
Source: the Alexandria database
Functional: GGA-PBE
Structure: relaxed

Properties
- Energy of formation: -0.052 eV/atom
- Mass density: 3.80 g/cm3

a b c (Å): 6.6053 10.4438 8.8787
angles (deg): 90.00 111.73 90.00
Space group C2/m (No. 12)
Unique sites:
Mg  0.0934  0.2474  0.1860 x8
Mg  0.0943  0.0000  0.6924 x4
Mg  0.0992  0.5000  0.6925 x4
Cd  0.0000  0.0000  0.0000 x2
In  0.0000  0.2499  0.5000 x4
In  0.0000  0.5000  0.0000 x2